A relaxed structure of CsPuZnF6. Source: Alexandria via LeMat-Bulk, functional GGA-PBE.

a b c (Å): 7.6297 7.6297 7.6297
angles (deg): 119.88 116.73 92.98
Positions (direct):
Cs 0.3405 0.0905 0.2500
Cs 0.6595 0.9095 0.7500
Pu 0.0000 0.5000 0.5000
Pu 0.5000 0.5000 0.0000
Zn 0.0000 0.0000 0.5000
Zn 0.0000 0.5000 0.0000
F 0.0520 0.3547 0.1764
F 0.0520 0.8756 0.6972
F 0.0777 0.3277 0.7500
F 0.3216 0.1244 0.6764
F 0.3216 0.6453 0.1972
F 0.3605 0.6105 0.7500
F 0.6395 0.3895 0.2500
F 0.6784 0.3547 0.8028
F 0.6784 0.8756 0.3236
F 0.9223 0.6723 0.2500
F 0.9480 0.1244 0.3028
F 0.9480 0.6453 0.8236

Results
The space group is Imma. For the total DFT energy (no corrections), the calculation gives -109.27 eV for the cell shown. The value obtained for the uncorrected formation energy is -288.9 kJ per mole of atoms. As for the mass density: 5.749 g/cm³. The magnetic moment comes out at 10.00 μB/cell.


A relaxed structure of Cs6Rb12F. Source: Alexandria via LeMat-Bulk, functional GGA-PBE.

a b c (Å): 12.1016 12.1016 12.1016
angles (deg): 78.38 78.38 78.38
Positions (direct):
Cs 0.1266 0.8245 0.8245
Cs 0.1755 0.1755 0.8734
Cs 0.1755 0.8734 0.1755
Cs 0.8245 0.1266 0.8245
Cs 0.8245 0.8245 0.1266
Cs 0.8734 0.1755 0.1755
Rb 0.1408 0.1408 0.4647
Rb 0.1408 0.4647 0.1408
Rb 0.1937 0.5287 0.5287
Rb 0.4647 0.1408 0.1408
Rb 0.4713 0.4713 0.8063
Rb 0.4713 0.8063 0.4713
Rb 0.5287 0.1937 0.5287
Rb 0.5287 0.5287 0.1937
Rb 0.5353 0.8592 0.8592
Rb 0.8063 0.4713 0.4713
Rb 0.8592 0.5353 0.8592
Rb 0.8592 0.8592 0.5353
F 0.0000 0.0000 0.0000

Results
The space group is R-3m. For the total DFT energy (no corrections), the calculation gives -23.41 eV for the cell shown. The value obtained for the uncorrected formation energy is -24.4 kJ per mole of atoms. As for the mass density: 1.825 g/cm³. The magnetic moment comes out at 0.00 μB/cell.


A relaxed structure of Cs7Rb4F. Source: Alexandria via LeMat-Bulk, functional GGA-PBE.

a b c (Å): 12.6806 12.6806 12.3629
angles (deg): 114.74 114.74 37.90
Positions (direct):
Cs 0.0000 0.0000 0.0000
Cs 0.0983 0.0983 0.4738
Cs 0.3716 0.3716 0.8259
Cs 0.4592 0.4592 0.2178
Cs 0.5408 0.5408 0.7822
Cs 0.6284 0.6284 0.1741
Cs 0.9017 0.9017 0.5262
Rb 0.1889 0.1889 0.9195
Rb 0.2756 0.2756 0.3525
Rb 0.7244 0.7244 0.6475
Rb 0.8111 0.8111 0.0805
F 0.5000 0.5000 0.0000

Results
The space group is C2/m. For the total DFT energy (no corrections), the calculation gives -16.54 eV for the cell shown. The value obtained for the uncorrected formation energy is -38.8 kJ per mole of atoms. As for the mass density: 1.958 g/cm³. The magnetic moment comes out at 0.00 μB/cell.


A relaxed structure of Cs2RbF. Source: Alexandria via LeMat-Bulk, functional GGA-PBE.

a b c (Å): 9.3275 9.3275 9.3275
angles (deg): 119.94 119.94 90.10
Positions (direct):
Cs 0.3750 0.1391 0.2641
Cs 0.8609 0.1250 0.2359
Cs 0.8750 0.1109 0.7359
Cs 0.8891 0.6250 0.7641
Rb 0.2500 0.7500 0.5000
Rb 0.5000 0.5000 0.0000
F 0.0000 0.0000 0.0000
F 0.7500 0.2500 0.5000

Results
The space group is I-42d. For the total DFT energy (no corrections), the calculation gives -19.50 eV for the cell shown. The value obtained for the uncorrected formation energy is -125.5 kJ per mole of atoms. As for the mass density: 2.141 g/cm³. The magnetic moment comes out at 0.00 μB/cell. Its excess energy over the best structure of this formula in the dataset is 0 meV/atom.


A relaxed structure of Cs8Rb5F. Source: Alexandria via LeMat-Bulk, functional GGA-PBE.

a b c (Å): 12.6276 12.6276 12.6276
angles (deg): 117.75 117.75 93.94
Positions (direct):
Cs 0.0000 0.5661 0.2665
Cs 0.0481 0.3115 0.6238
Cs 0.2665 0.0000 0.5661
Cs 0.2996 0.7335 0.7335
Cs 0.4339 0.7004 0.4339
Cs 0.5756 0.9519 0.2634
Cs 0.6877 0.4244 0.3762
Cs 0.6885 0.3123 0.7366
Rb 0.0357 0.7494 0.9774
Rb 0.2506 0.2280 0.2863
Rb 0.5000 0.5000 0.0000
Rb 0.7720 0.0583 0.0226
Rb 0.9417 0.9643 0.7137
F 0.2500 0.7500 0.5000

Results
The space group is I-4. For the total DFT energy (no corrections), the calculation gives -18.10 eV for the cell shown. The value obtained for the uncorrected formation energy is -31.4 kJ per mole of atoms. As for the mass density: 1.707 g/cm³. The magnetic moment comes out at 0.00 μB/cell.


A relaxed structure of CsRbF2. Source: Alexandria via LeMat-Bulk, functional GGA-PBE.

a b c (Å): 5.0623 5.0623 5.0623
angles (deg): 60.00 60.00 60.00
Positions (direct):
Cs 0.0000 0.0000 0.0000
Rb 0.5000 0.5000 0.5000
F 0.2500 0.2500 0.2500
F 0.7500 0.7500 0.7500

Results
The space group is Fm-3m. For the total DFT energy (no corrections), the calculation gives -15.74 eV for the cell shown. The value obtained for the uncorrected formation energy is -245.5 kJ per mole of atoms. As for the mass density: 4.641 g/cm³. The magnetic moment comes out at 0.15 μB/cell. Its excess energy over the best structure of this formula in the dataset is 109 meV/atom.


A relaxed structure of CsRb6F8. Source: Alexandria via LeMat-Bulk, functional GGA-PBE.

a b c (Å): 10.3257 10.3257 4.1991
angles (deg): 90.00 90.00 120.00
Positions (direct):
Cs 0.0000 0.0000 0.0000
Rb 0.1310 0.6746 0.2636
Rb 0.3254 0.4564 0.2636
Rb 0.4564 0.1310 0.7364
Rb 0.5436 0.8690 0.2636
Rb 0.6746 0.5436 0.7364
Rb 0.8690 0.3254 0.7364
F 0.0298 0.3199 0.2340
F 0.2902 0.9702 0.2340
F 0.3199 0.2902 0.7660
F 0.3333 0.6667 0.7575
F 0.6667 0.3333 0.2425
F 0.6801 0.7098 0.2340
F 0.7098 0.0298 0.7660
F 0.9702 0.6801 0.7660

Results
The space group is P-3. For the total DFT energy (no corrections), the calculation gives -58.05 eV for the cell shown. The value obtained for the uncorrected formation energy is -234.3 kJ per mole of atoms. As for the mass density: 3.416 g/cm³. The magnetic moment comes out at 1.35 μB/cell.


A relaxed structure of Cs2Rb2F5. Source: Alexandria via LeMat-Bulk, functional GGA-PBE.

a b c (Å): 8.0620 8.0620 7.8464
angles (deg): 90.00 90.00 57.88
Positions (direct):
Cs 0.2007 0.2007 0.0000
Cs 0.2993 0.2993 0.5000
Cs 0.7007 0.7007 0.5000
Cs 0.7993 0.7993 0.0000
Rb 0.1590 0.8410 0.6588
Rb 0.3410 0.6590 0.1588
Rb 0.6590 0.3410 0.8412
Rb 0.8410 0.1590 0.3412
F 0.0000 0.0000 0.0000
F 0.0184 0.7191 0.3509
F 0.2191 0.5184 0.8509
F 0.2809 0.9816 0.3509
F 0.4816 0.7809 0.8509
F 0.5000 0.5000 0.5000
F 0.5184 0.2191 0.1491
F 0.7191 0.0184 0.6491
F 0.7809 0.4816 0.1491
F 0.9816 0.2809 0.6491

Results
The space group is Cmce. For the total DFT energy (no corrections), the calculation gives -68.92 eV for the cell shown. The value obtained for the uncorrected formation energy is -230.1 kJ per mole of atoms. As for the mass density: 4.088 g/cm³. The magnetic moment comes out at 2.20 μB/cell.


A relaxed structure of Cs6RbF. Source: Alexandria via LeMat-Bulk, functional GGA-PBE.

a b c (Å): 9.8109 9.8109 17.5637
angles (deg): 101.45 101.45 55.04
Positions (direct):
Cs 0.0281 0.8024 0.6011
Cs 0.1229 0.3190 0.6514
Cs 0.1976 0.9719 0.8989
Cs 0.2981 0.3945 0.9598
Cs 0.3190 0.1229 0.1514
Cs 0.3945 0.2981 0.4598
Cs 0.6055 0.7019 0.5402
Cs 0.6810 0.8771 0.8486
Cs 0.7019 0.6055 0.0402
Cs 0.8024 0.0281 0.1011
Cs 0.8771 0.6810 0.3486
Cs 0.9719 0.1976 0.3989
Rb 0.3737 0.6263 0.2500
Rb 0.6263 0.3737 0.7500
F 0.0000 0.5000 0.5000
F 0.5000 0.0000 0.0000

Results
The space group is C2/c. For the total DFT energy (no corrections), the calculation gives -25.66 eV for the cell shown. The value obtained for the uncorrected formation energy is -58.7 kJ per mole of atoms. As for the mass density: 2.218 g/cm³. The magnetic moment comes out at 0.00 μB/cell.


A relaxed structure of Cs2RbF. Source: Alexandria via LeMat-Bulk, functional GGA-PBE.

a b c (Å): 13.0504 13.0504 13.0504
angles (deg): 20.54 20.54 20.54
Positions (direct):
Cs 0.1228 0.1228 0.1228
Cs 0.8772 0.8772 0.8772
Rb 0.0000 0.0000 0.0000
F 0.5000 0.5000 0.5000

Results
The space group is R-3m. For the total DFT energy (no corrections), the calculation gives -9.48 eV for the cell shown. The value obtained for the uncorrected formation energy is -118.9 kJ per mole of atoms. As for the mass density: 2.567 g/cm³. The magnetic moment comes out at 0.00 μB/cell. Its excess energy over the best structure of this formula in the dataset is 68 meV/atom.


A relaxed structure of CsRbF. Source: Alexandria via LeMat-Bulk, functional GGA-PBE.

a b c (Å): 8.9361 8.9361 8.9361
angles (deg): 152.59 152.59 39.15
Positions (direct):
Cs 0.0000 0.0000 0.0000
Rb 0.2945 0.2945 0.0000
F 0.4546 0.4546 0.0000

Results
The space group is I4mm. For the total DFT energy (no corrections), the calculation gives -8.73 eV for the cell shown. The value obtained for the uncorrected formation energy is -162.0 kJ per mole of atoms. As for the mass density: 2.612 g/cm³. The magnetic moment comes out at 0.00 μB/cell. Its excess energy over the best structure of this formula in the dataset is 27 meV/atom.


- Which value of magnetic moment does entry 4 give?
  0.00 μB/cell